A.
The following is a DFT calculation (PBE-GGA) of BaCaZr2O6 after structural relaxation.

```
data_BaCaZr2O6
_chemical_formula_sum 'Ba2 Ca2 Zr4 O12'
_symmetry_space_group_name_H-M 'C m m m'
_symmetry_Int_Tables_number 65
_symmetry_space_group_name_Hall '-C 2 2'
_cell_length_a 8.2570
_cell_length_b 8.3877
_cell_length_c 4.2314
_cell_angle_alpha 90.00
_cell_angle_beta 90.00
_cell_angle_gamma 90.00
loop_
_atom_site_label
_atom_site_type_symbol
_atom_site_fract_x
_atom_site_fract_y
_atom_site_fract_z
Ba1 Ba 0.0000 0.0000 0.0000
Ca1 Ca 0.0000 0.5000 0.0000
Zr1 Zr 0.2500 0.2500 0.5000
O1 O 0.0000 0.2040 0.5000
O2 O 0.1934 0.5000 0.5000
O3 O 0.2500 0.2500 0.0000
```

- M_tot (μB per formula unit) = 0.000
- calculated volume (Å³/atom) = 14.7

***

B.
The following is a DFT calculation (PBE-GGA) of BaCaZr2O6 after structural relaxation.

```
data_BaCaZr2O6
_chemical_formula_sum 'Ba1 Ca1 Zr2 O6'
_symmetry_space_group_name_H-M 'P 4/m m m'
_symmetry_Int_Tables_number 123
_symmetry_space_group_name_Hall '-P 4 2'
_cell_length_a 4.2084
_cell_length_b 4.2084
_cell_length_c 8.4123
_cell_angle_alpha 90.00
_cell_angle_beta 90.00
_cell_angle_gamma 90.00
loop_
_atom_site_label
_atom_site_type_symbol
_atom_site_fract_x
_atom_site_fract_y
_atom_site_fract_z
Ba1 Ba 0.0000 0.0000 0.0000
Ca1 Ca 0.0000 0.0000 0.5000
Zr1 Zr 0.5000 0.5000 0.2554
O1 O 0.0000 0.5000 0.2607
O2 O 0.5000 0.5000 0.0000
O3 O 0.5000 0.5000 0.5000
```

- M_tot (μB per formula unit) = 0.000
- calculated volume (Å³/atom) = 14.9

***

C.
The following is a DFT calculation (PBE-GGA) of BaCaZr2O6 after structural relaxation.

```
data_BaCaZr2O6
_chemical_formula_sum 'Ba2 Ca2 Zr4 O12'
_symmetry_space_group_name_H-M 'I m m 2'
_symmetry_Int_Tables_number 44
_symmetry_space_group_name_Hall 'I 2 -2'
_cell_length_a 5.9448
_cell_length_b 8.2683
_cell_length_c 5.8831
_cell_angle_alpha 90.00
_cell_angle_beta 90.00
_cell_angle_gamma 90.00
loop_
_atom_site_label
_atom_site_type_symbol
_atom_site_fract_x
_atom_site_fract_y
_atom_site_fract_z
Ba1 Ba 0.0000 0.0000 0.0000
Ca1 Ca 0.0000 0.5000 0.0299
Zr1 Zr 0.0000 0.2508 0.5043
O1 O 0.0000 0.0000 0.4442
O2 O 0.0000 0.5000 0.6125
O3 O 0.2324 0.2964 0.2320
```

- M_tot (μB per formula unit) = 0.000
- calculated volume (Å³/atom) = 14.5

***

Which is the most stable structure? C is the most stable.

***

A.
The following is a DFT calculation (PBE-GGA) of Ba2CaOs after structural relaxation.

```
data_Ba2CaOs
_chemical_formula_sum 'Ba6 Ca3 Os3'
_symmetry_space_group_name_H-M 'R -3 m'
_symmetry_Int_Tables_number 166
_symmetry_space_group_name_Hall '-R 3 2"'
_cell_length_a 4.2118
_cell_length_b 4.2118
_cell_length_c 33.4725
_cell_angle_alpha 90.00
_cell_angle_beta 90.00
_cell_angle_gamma 120.00
loop_
_atom_site_label
_atom_site_type_symbol
_atom_site_fract_x
_atom_site_fract_y
_atom_site_fract_z
Ba1 Ba 0.0000 0.0000 0.2241
Ca1 Ca 0.0000 0.0000 0.0000
Os1 Os 0.0000 0.0000 0.5000
```

- M_tot (μB per formula unit) = 0.736
- calculated volume (Å³/atom) = 42.9

***

B.
The following is a DFT calculation (PBE-GGA) of Ba2CaOs after structural relaxation.

```
data_Ba2CaOs
_chemical_formula_sum 'Ba2 Ca1 Os1'
_symmetry_space_group_name_H-M 'P 4 m m'
_symmetry_Int_Tables_number 99
_symmetry_space_group_name_Hall 'P 4 -2'
_cell_length_a 3.9680
_cell_length_b 3.9680
_cell_length_c 9.2605
_cell_angle_alpha 90.00
_cell_angle_beta 90.00
_cell_angle_gamma 90.00
loop_
_atom_site_label
_atom_site_type_symbol
_atom_site_fract_x
_atom_site_fract_y
_atom_site_fract_z
Ba1 Ba 0.0000 0.0000 0.0000
Ba2 Ba 0.5000 0.5000 0.4037
Ca1 Ca 0.0000 0.0000 0.6585
Os1 Os 0.5000 0.5000 0.7756
```

- M_tot (μB per formula unit) = 0.000
- calculated volume (Å³/atom) = 36.5

***

C.
The following is a DFT calculation (PBE-GGA) of Ba2CaOs after structural relaxation.

```
data_Ba2CaOs
_chemical_formula_sum 'Ba2 Ca1 Os1'
_symmetry_space_group_name_H-M 'P 4/m m m'
_symmetry_Int_Tables_number 123
_symmetry_space_group_name_Hall '-P 4 2'
_cell_length_a 5.0882
_cell_length_b 5.0882
_cell_length_c 4.9718
_cell_angle_alpha 90.00
_cell_angle_beta 90.00
_cell_angle_gamma 90.00
loop_
_atom_site_label
_atom_site_type_symbol
_atom_site_fract_x
_atom_site_fract_y
_atom_site_fract_z
Ba1 Ba 0.0000 0.5000 0.0000
Ca1 Ca 0.0000 0.0000 0.5000
Os1 Os 0.5000 0.5000 0.5000
```

- M_tot (μB per formula unit) = 0.000
- calculated volume (Å³/atom) = 32.2

***

D.
The following is a DFT calculation (PBE-GGA) of Ba2CaOs after structural relaxation.

```
data_Ba2CaOs
_chemical_formula_sum 'Ba8 Ca4 Os4'
_symmetry_space_group_name_H-M 'F m -3 m'
_symmetry_Int_Tables_number 225
_symmetry_space_group_name_Hall '-F 4 2 3'
_cell_length_a 7.9607
_cell_length_b 7.9607
_cell_length_c 7.9607
_cell_angle_alpha 90.00
_cell_angle_beta 90.00
_cell_angle_gamma 90.00
loop_
_atom_site_label
_atom_site_type_symbol
_atom_site_fract_x
_atom_site_fract_y
_atom_site_fract_z
Ba1 Ba 0.2500 0.2500 0.2500
Ca1 Ca 0.0000 0.0000 0.0000
Os1 Os 0.0000 0.0000 0.5000
```

- M_tot (μB per formula unit) = 0.000
- calculated volume (Å³/atom) = 31.5

***

Which is the most stable structure? B is the most stable.

***

A.
The following is a DFT calculation (PBE-GGA) of Ba2CaOs after structural relaxation.

```
data_Ba2CaOs
_chemical_formula_sum 'Ba4 Ca2 Os2'
_symmetry_space_group_name_H-M 'A m m 2'
_symmetry_Int_Tables_number 38
_symmetry_space_group_name_Hall 'A 2 -2'
_cell_length_a 3.7916
_cell_length_b 4.7344
_cell_length_c 17.9500
_cell_angle_alpha 90.00
_cell_angle_beta 90.00
_cell_angle_gamma 90.00
loop_
_atom_site_label
_atom_site_type_symbol
_atom_site_fract_x
_atom_site_fract_y
_atom_site_fract_z
Ba1 Ba 0.0000 0.0000 0.0000
Ba2 Ba 0.5000 0.0000 0.2994
Ca1 Ca 0.0000 0.0000 0.6572
Os1 Os 0.5000 0.0000 0.1392
```

- M_tot (μB per formula unit) = 0.000
- calculated volume (Å³/atom) = 40.3

***

B.
The following is a DFT calculation (PBE-GGA) of Ba2CaOs after structural relaxation.

```
data_Ba2CaOs
_chemical_formula_sum 'Ba4 Ca2 Os2'
_symmetry_space_group_name_H-M 'C 1 2/m 1'
_symmetry_Int_Tables_number 12
_symmetry_space_group_name_Hall '-C 2y'
_cell_length_a 18.0226
_cell_length_b 3.6453
_cell_length_c 5.0817
_cell_angle_alpha 90.00
_cell_angle_beta 106.30
_cell_angle_gamma 90.00
loop_
_atom_site_label
_atom_site_type_symbol
_atom_site_fract_x
_atom_site_fract_y
_atom_site_fract_z
Ba1 Ba 0.1462 0.0000 0.1456
Ca1 Ca 0.0000 0.0000 0.5000
Os1 Os 0.0000 0.5000 0.0000
```

- M_tot (μB per formula unit) = 0.000
- calculated volume (Å³/atom) = 40.1

***

C.
The following is a DFT calculation (PBE-GGA) of Ba2CaOs after structural relaxation.

```
data_Ba2CaOs
_chemical_formula_sum 'Ba4 Ca2 Os2'
_symmetry_space_group_name_H-M 'C 1 m 1'
_symmetry_Int_Tables_number 8
_symmetry_space_group_name_Hall 'C -2y'
_cell_length_a 10.5463
_cell_length_b 4.0674
_cell_length_c 8.3867
_cell_angle_alpha 90.00
_cell_angle_beta 109.91
_cell_angle_gamma 90.00
loop_
_atom_site_label
_atom_site_type_symbol
_atom_site_fract_x
_atom_site_fract_y
_atom_site_fract_z
Ba1 Ba 0.0000 0.0000 0.0000
Ba2 Ba 0.1529 0.0000 0.5671
Ca1 Ca 0.3450 0.0000 0.2840
Os1 Os 0.1357 0.5000 0.2836
```

- M_tot (μB per formula unit) = 0.000
- calculated volume (Å³/atom) = 42.3

***

Which is the most stable structure? C is the most stable.

***

A.
The following is a DFT calculation (PBE-GGA) of Ba2CaOs after structural relaxation.

```
data_Ba2CaOs
_chemical_formula_sum 'Ba2 Ca1 Os1'
_symmetry_space_group_name_H-M 'P 4/m m m'
_symmetry_Int_Tables_number 123
_symmetry_space_group_name_Hall '-P 4 2'
_cell_length_a 3.7766
_cell_length_b 3.7766
_cell_length_c 10.5342
_cell_angle_alpha 90.00
_cell_angle_beta 90.00
_cell_angle_gamma 90.00
loop_
_atom_site_label
_atom_site_type_symbol
_atom_site_fract_x
_atom_site_fract_y
_atom_site_fract_z
Ba1 Ba 0.0000 0.0000 0.1748
Ca1 Ca 0.5000 0.5000 0.5000
Os1 Os 0.5000 0.5000 0.0000
```

- M_tot (μB per formula unit) = 0.000
- calculated volume (Å³/atom) = 37.6

***

B.
The following is a DFT calculation (PBE-GGA) of Ba2CaOs after structural relaxation.

```
data_Ba2CaOs
_chemical_formula_sum 'Ba8 Ca4 Os4'
_symmetry_space_group_name_H-M 'F -4 3 m'
_symmetry_Int_Tables_number 216
_symmetry_space_group_name_Hall 'F -4 2 3'
_cell_length_a 7.8940
_cell_length_b 7.8940
_cell_length_c 7.8940
_cell_angle_alpha 90.00
_cell_angle_beta 90.00
_cell_angle_gamma 90.00
loop_
_atom_site_label
_atom_site_type_symbol
_atom_site_fract_x
_atom_site_fract_y
_atom_site_fract_z
Ba1 Ba 0.0000 0.0000 0.0000
Ba2 Ba 0.2500 0.2500 0.2500
Ca1 Ca 0.0000 0.0000 0.5000
Os1 Os 0.2500 0.2500 0.7500
```

- M_tot (μB per formula unit) = 0.000
- calculated volume (Å³/atom) = 30.7

***

C.
The following is a DFT calculation (PBE-GGA) of Ba2CaOs after structural relaxation.

```
data_Ba2CaOs
_chemical_formula_sum 'Ba4 Ca2 Os2'
_symmetry_space_group_name_H-M 'I m m 2'
_symmetry_Int_Tables_number 44
_symmetry_space_group_name_Hall 'I 2 -2'
_cell_length_a 3.7858
_cell_length_b 5.8545
_cell_length_c 13.8807
_cell_angle_alpha 90.00
_cell_angle_beta 90.00
_cell_angle_gamma 90.00
loop_
_atom_site_label
_atom_site_type_symbol
_atom_site_fract_x
_atom_site_fract_y
_atom_site_fract_z
Ba1 Ba 0.0000 0.0000 0.0000
Ba2 Ba 0.0000 0.5000 0.1710
Ca1 Ca 0.0000 0.5000 0.8399
Os1 Os 0.0000 0.0000 0.4978
```

- M_tot (μB per formula unit) = 0.000
- calculated volume (Å³/atom) = 38.5

***

Which is the most stable structure? C is the most stable.